# 1
CuSn2Pd4, relaxed, DFT PBE; calculated formation energy = -294 meV/atom; crystal system = monoclinic; calculated density = 10.01 g/cm3; density of states at the Fermi level = 5.69 states/eV per cell
1.0
6.704 0.000 0.000
0.000 5.593 0.000
-3.235 0.000 6.430
Cu Sn Pd
2 4 8
Direct
0.057 0.250 0.335
0.943 0.750 0.665
0.090 0.750 0.387
0.278 0.250 0.088
0.722 0.750 0.912
0.910 0.250 0.613
0.200 0.750 0.062
0.325 0.003 0.768
0.325 0.497 0.768
0.481 0.250 0.509
0.519 0.750 0.491
0.675 0.503 0.232
0.675 0.997 0.232
0.800 0.250 0.938

# 2
Sr4ScCl, relaxed, DFT PBE; crystal system = cubic; uncorrected formation energy = 1.94 eV/f.u.; calculated density = 2.40 g/cm3; density of states at the Fermi level = 12.39 states/eV per cell
1.0
0.000 5.304 5.304
5.304 0.000 5.304
5.304 5.304 0.000
Sr Sc Cl
4 1 1
Direct
0.376 0.376 0.376
0.376 0.376 0.871
0.376 0.871 0.376
0.871 0.376 0.376
0.750 0.750 0.750
0.000 0.000 0.000

# 3
Sc2Rh, relaxed, DFT PBE; calculated formation energy = -523 meV/atom; crystal system = trigonal; calculated density = 5.70 g/cm3; density of states at the Fermi level = 3.67 states/eV per cell
1.0
4.520 0.000 0.000
-2.260 3.915 0.000
0.000 0.000 3.176
Sc Rh
2 1
Direct
0.333 0.667 0.285
0.667 0.333 0.715
0.000 0.000 0.000

# 4
BeIrF, relaxed, DFT PBE; crystal system = monoclinic; energy above the most stable polymorph in this dataset = 31.3 meV/atom; uncorrected formation energy = -4.18 eV/f.u.; calculated density = 9.28 g/cm3; density of states at the Fermi level = 2.84 states/eV per cell
1.0
4.555 0.000 0.000
0.000 2.660 0.000
-1.748 0.000 6.506
Be Ir F
2 2 2
Direct
0.000 0.000 0.000
0.450 0.000 0.381
0.468 0.500 0.644
0.976 0.000 0.649
0.346 0.000 0.151
0.870 0.500 0.075

# 5
DyErTl, relaxed, DFT PBE; calculated formation energy = -32 meV/atom; crystal system = cubic; energy above the most stable polymorph in this dataset = 221.5 meV/atom; calculated density = 9.13 g/cm3; density of states at the Fermi level = 4.35 states/eV per cell
1.0
0.000 3.649 3.649
3.649 0.000 3.649
3.649 3.649 0.000
Dy Er Tl
1 1 1
Direct
0.000 0.000 0.000
0.500 0.500 0.500
0.250 0.250 0.250

# 6
LaNbTe2I, relaxed, DFT PBE; crystal system = tetragonal; energy above the most stable polymorph in this dataset = 694.6 meV/atom; uncorrected formation energy = 1.88 eV/f.u.; calculated density = 4.46 g/cm3; density of states at the Fermi level = 7.97 states/eV per cell
1.0
6.165 0.000 0.000
0.000 6.165 0.000
0.000 0.000 6.018
La Nb Te I
1 1 2 1
Direct
0.000 0.000 0.000
0.500 0.500 0.500
0.000 0.500 0.000
0.500 0.000 0.000
0.000 0.000 0.500

Number 1: volume 241 Å³/cell. Number 2: volume 298 Å³/cell. Number 3: volume 56 Å³/cell. Number 4: volume 79 Å³/cell. Number 5: volume 97 Å³/cell. Number 6: volume 229 Å³/cell.